This record from Alexandria via LeMat-Bulk describes an optimized crystal structure of SiB2C. The functional is GGA-PBE.

Computed properties:
Its uncorrected formation energy is 1.42 eV per formula unit. The value obtained for the calculated density is 2.7 g cm⁻³. Its energy above the most stable polymorph in this dataset is 94 meV/atom. As for the volume: 9.40 Å³/atom. The space group is Pmm2, No. 25.

abc: 2.779 2.893 4.677
angles: 90.00 90.00 90.00
Fractional coordinates of all 4 atoms:
Si 0.000 0.000 0.000
B 0.500 0.000 0.675
B 0.500 0.500 0.421
C 0.000 0.500 0.249